A geometry-optimized LiFe23O32 structure. Source: Alexandria via LeMat-Bulk, functional PBE+U.

Results
As for the energy: -6.630 eV/atom. Its symmetry is R-3m.

abc: 8.565 8.565 8.565
angles: 89.92 89.92 89.92
Fractional positions:
1 Li 0.000 0.000 0.000
2 Fe 0.123 0.622 0.123
3 Fe 0.005 0.754 0.754
4 Fe 0.000 0.500 0.500
5 Fe 0.995 0.246 0.246
6 Fe 0.877 0.877 0.378
7 Fe 0.877 0.378 0.877
8 Fe 0.754 0.005 0.754
9 Fe 0.747 0.253 0.500
10 Fe 0.754 0.754 0.005
11 Fe 0.747 0.500 0.253
12 Fe 0.630 0.630 0.630
13 Fe 0.622 0.123 0.123
14 Fe 0.500 0.000 0.500
15 Fe 0.500 0.253 0.747
16 Fe 0.500 0.747 0.253
17 Fe 0.500 0.500 0.000
18 Fe 0.378 0.877 0.877
19 Fe 0.370 0.370 0.370
20 Fe 0.253 0.747 0.500
21 Fe 0.253 0.500 0.747
22 Fe 0.246 0.995 0.246
23 Fe 0.246 0.246 0.995
24 Fe 0.123 0.123 0.622
25 O 0.001 0.740 0.511
26 O 0.010 0.010 0.253
27 O 0.010 0.253 0.010
28 O 0.999 0.260 0.489
29 O 0.001 0.511 0.740
30 O 0.990 0.990 0.747
31 O 0.990 0.747 0.990
32 O 0.999 0.489 0.260
33 O 0.763 0.763 0.763
34 O 0.760 0.501 0.501
35 O 0.759 0.249 0.249
36 O 0.751 0.751 0.241
37 O 0.747 0.990 0.990
38 O 0.740 0.001 0.511
39 O 0.751 0.241 0.751
40 O 0.740 0.511 0.001
41 O 0.511 0.001 0.740
42 O 0.511 0.740 0.001
43 O 0.499 0.499 0.240
44 O 0.501 0.501 0.760
45 O 0.499 0.240 0.499
46 O 0.501 0.760 0.501
47 O 0.489 0.999 0.260
48 O 0.489 0.260 0.999
49 O 0.260 0.999 0.489
50 O 0.249 0.249 0.759
51 O 0.260 0.489 0.999
52 O 0.253 0.010 0.010
53 O 0.249 0.759 0.249
54 O 0.241 0.751 0.751
55 O 0.240 0.499 0.499
56 O 0.237 0.237 0.237